# SbIr2RuCl | Alexandria via LeMat-Bulk | PBE | relaxed
# energy relative to the elements, uncorrected = 1703 meV/atom
data_SbIr2RuCl
_symmetry_space_group_name_H-M 'P 4/m m m'
_symmetry_Int_Tables_number 123
_symmetry_space_group_name_Hall '-P 4 2'
_cell_length_a 4.359
_cell_length_b 4.359
_cell_length_c 5.107
_cell_angle_alpha 90.00
_cell_angle_beta 90.00
_cell_angle_gamma 90.00
loop_
_atom_site_label
_atom_site_fract_x
_atom_site_fract_y
_atom_site_fract_z
Sb1 0.000 0.000 0.000
Ir1 0.000 0.500 0.500
Ru1 0.500 0.500 0.000
Cl1 0.000 0.000 0.500



# MgZn2Co | Alexandria via LeMat-Bulk | PBE | relaxed
# DFT formation energy = 0.117 eV per atom
data_MgZn2Co
_symmetry_space_group_name_H-M 'R -3 m'
_symmetry_Int_Tables_number 166
_symmetry_space_group_name_Hall '-R 3 2"'
_cell_length_a 2.8193
_cell_length_b 2.8193
_cell_length_c 26.3592
_cell_angle_alpha 90.00
_cell_angle_beta 90.00
_cell_angle_gamma 120.00
loop_
_atom_site_label
_atom_site_fract_x
_atom_site_fract_y
_atom_site_fract_z
Mg1 0.0000 0.0000 0.0000
Zn1 0.0000 0.0000 0.2406
Co1 0.0000 0.0000 0.5000